BeGaO3, relaxed, DFT PBE; crystal system = trigonal; space group = No. 167; E_form (uncorrected) = -1.71 eV per atom; D(E_F) = 2.24 states/eV/cell; E = -60.33 eV for the cell shown
1.0
4.874 0.000 0.000
2.437 4.221 0.000
2.437 1.407 4.510
Be Ga O
2 2 6
Cartesian
2.437 1.407 1.127
7.312 4.221 3.382
0.000 0.000 0.000
4.874 2.814 2.255
6.532 2.758 1.127
3.997 1.407 1.127
5.654 1.351 3.382
3.217 2.871 3.382
5.752 4.221 3.382
4.095 4.278 1.127